Compound: LaY3
Source: the Alexandria database
Functional: PBE-GGA
Structure: relaxed

Properties
Size of the total moment   0.0 μB per formula unit
V   136 Å³/f.u.
Energy relative to the elements   0.020 eV/atom

Cell: 5.780 7.385 6.356 Å, 90.00 90.00 90.00°
Space group Pmmn (No. 59, origin choice 2)
Asymmetric unit:
La: 0.250 0.250 0.170 x2
Y: 0.250 0.000 0.666 x4
Y: 0.250 0.750 0.168 x2



Compound: La4Y3
Source: the Alexandria database
Functional: PBE-GGA
Structure: relaxed

Properties
Distance to the lowest polymorph of the same formula   239 meV per atom
Size of the total moment   0.0 μB per formula unit
V   272 Å³/f.u.
Energy relative to the elements   0.264 eV/atom

Cell: 12.9980 12.9980 3.7208 Å, 90.00 90.00 120.00°
Space group P6_3/m (No. 176)
Asymmetric unit:
La: 0.0907 0.7687 0.2500 x6
La: 0.3333 0.6667 0.7500 x2
Y: 0.0983 0.4896 0.2500 x6



Compound: La7Y6
Source: the Alexandria database
Functional: PBE-GGA
Structure: relaxed

Properties
Size of the total moment   0.0 μB per formula unit
V   454 Å³/f.u.
Energy relative to the elements   0.195 eV/atom

Cell: 6.6854 6.6854 35.1778 Å, 90.00 90.00 120.00°
Space group R-3m (No. 166, hexagonal axes)
Asymmetric unit:
La: 0.0000 0.0000 0.0000 x3
La: 0.0178 0.5089 0.4112 x18
Y: 0.0000 0.0000 0.1653 x6
Y: 0.0000 0.0000 0.3526 x6
Y: 0.0000 0.0000 0.4548 x6



Compound: LaY2
Source: the Alexandria database
Functional: PBE-GGA
Structure: relaxed

Properties
Distance to the lowest polymorph of the same formula   51 meV per atom
Size of the total moment   0.0 μB per formula unit
V   102 Å³/f.u.
Energy relative to the elements   0.066 eV/atom

Cell: 5.7841 5.7841 3.5209 Å, 90.00 90.00 120.00°
Space group P6/mmm (No. 191)
Asymmetric unit:
La: 0.0000 0.0000 0.0000 x1
Y: 0.3333 0.6667 0.5000 x2